1.
This record from the Alexandria database describes an optimized crystal structure of Sr4CuW. The functional is PBE.

D(E_F)   6.87 states/eV/f.u.
Volume   37.72 A^3/atom
SG   F-43m
Density   4.4 Mg/m³
Spin magnetization   4.5 Bohr magnetons per cell
ΔH_f (0 K)   140.9 kJ per mole of atoms

Cell lengths 6.840, 6.840, 6.840 Å; angles 60.00, 60.00, 60.00 degrees
Element x y z (fractional)
Sr 0.125 0.125 0.125
Sr 0.125 0.125 0.626
Sr 0.125 0.626 0.125
Sr 0.626 0.125 0.125
Cu 0.500 0.500 0.500
W 0.750 0.750 0.750

***

2.
This record from the Alexandria database describes an optimized crystal structure of Be2Te4Ru. The functional is PBE.

D(E_F)   5.23 states/eV/f.u.
Volume   23.76 A^3/atom
SG   I4/mmm
Density   6.3 Mg/m³
Spin magnetization   0.0 Bohr magnetons per cell
DFT total energy   -3.820 eV/atom

Cell lengths 5.236, 5.236, 12.135 Å; angles 90.00, 90.00, 90.00 degrees
Element x y z (fractional)
Be 0.000 0.000 0.084
Be 0.000 0.000 0.916
Be 0.500 0.500 0.416
Be 0.500 0.500 0.584
Te 0.000 0.000 0.274
Te 0.000 0.000 0.726
Te 0.000 0.500 0.000
Te 0.000 0.500 0.500
Te 0.500 0.000 0.000
Te 0.500 0.000 0.500
Te 0.500 0.500 0.226
Te 0.500 0.500 0.774
Ru 0.000 0.000 0.500
Ru 0.500 0.500 0.000

***

3.
This record from the Alexandria database describes an optimized crystal structure of Nb2NiSe5. The functional is PBE.

D(E_F)   5.49 states/eV/f.u.
Volume   22.99 A^3/atom
SG   Cmcm
Density   5.8 Mg/m³
Spin magnetization   0.0 Bohr magnetons per cell
DFT total energy   -5.882 eV/atom

Cell lengths 6.457, 6.457, 12.215 Å; angles 90.00, 90.00, 133.77 degrees
Element x y z (fractional)
Nb 0.177 0.823 0.549
Nb 0.177 0.823 0.951
Nb 0.823 0.177 0.049
Nb 0.823 0.177 0.451
Ni 0.186 0.814 0.250
Ni 0.814 0.186 0.750
Se 0.044 0.956 0.111
Se 0.044 0.956 0.389
Se 0.272 0.728 0.750
Se 0.330 0.670 0.101
Se 0.330 0.670 0.399
Se 0.670 0.330 0.601
Se 0.670 0.330 0.899
Se 0.728 0.272 0.250
Se 0.956 0.044 0.611
Se 0.956 0.044 0.889

***

4.
This record from the Alexandria database describes an optimized crystal structure of HgPd14Se. The functional is PBE.

D(E_F)   28.24 states/eV/f.u.
Volume   15.99 A^3/atom
SG   Amm2
Density   11.5 Mg/m³
Spin magnetization   0.0 Bohr magnetons per cell
DFT total energy   -4.787 eV/atom

Cell lengths 9.182, 5.605, 5.605 Å; angles 62.45, 90.00, 90.00 degrees
Element x y z (fractional)
Hg 0.000 0.000 0.000
Pd 0.000 0.016 0.499
Pd 0.000 0.499 0.016
Pd 0.250 0.327 0.815
Pd 0.250 0.815 0.327
Pd 0.254 0.823 0.823
Pd 0.256 0.317 0.317
Pd 0.500 0.140 0.140
Pd 0.500 0.144 0.641
Pd 0.500 0.641 0.144
Pd 0.500 0.645 0.645
Pd 0.744 0.317 0.317
Pd 0.746 0.823 0.823
Pd 0.750 0.327 0.815
Pd 0.750 0.815 0.327
Se 0.000 0.547 0.547

***

> Which formula does entry 4 have?

HgPd14Se